1.
Y4HgTe2As: relaxed, PBE-GGA.

Raw formation energy = -1.172 eV/atom
D(E_F) = 5.25 states/eV/f.u.
DFT total energy = -46.47 eV/f.u.
Crystal system = monoclinic
Symmetry = P2/m
Mass density = 6537 kg/m3

a = 4.1951 Å, b = 7.4843 Å, c = 7.5557 Å
α = 71.64°, β = 90.00°, γ = 90.00°
With the nearest neighbours (Å) after each atom.
Fractional positions:
Y1 0.0000 0.7341 0.7473  1 As 2.94, 2 Hg 3.00, 3 Te 3.08-3.16
Y2 0.0000 0.2659 0.2527  1 As 2.94, 2 Hg 3.00, 3 Te 3.08-3.16
Y3 0.5000 0.7248 0.2665  2 As 2.91, 1 Hg 3.00, 3 Te 3.11-3.18
Y4 0.5000 0.2752 0.7335  2 As 2.91, 1 Hg 3.00, 3 Te 3.11-3.18
Hg1 0.5000 0.5000 0.0000  6 Y 3.00
Te1 0.0000 0.0000 0.0000  6 Y 3.16-3.18
Te2 0.5000 0.0000 0.5000  6 Y 3.08-3.11
As1 0.0000 0.5000 0.5000  6 Y 2.91-2.94

2.
HoTaGa2O8: relaxed, PBE-GGA.

Raw formation energy = -2.097 eV/atom
D(E_F) = 9.08 states/eV/f.u.
DFT total energy = -87.32 eV/f.u.
Crystal system = tetragonal
Symmetry = I-4m2
Mass density = 6747 kg/m3

a = 5.8128 Å, b = 5.8128 Å, c = 5.8128 Å
α = 108.17°, β = 108.17°, γ = 112.11°
With the nearest neighbours (Å) after each atom.
Fractional positions:
Ho1 0.2500 0.7500 0.5000  8 O 2.23-2.47
Ta1 0.0000 0.0000 0.0000  8 O 2.05-2.20
Ga1 0.7500 0.2500 0.5000  4 O 1.85
Ga2 0.5000 0.5000 0.0000  4 O 1.84
O1 0.3585 0.0636 0.2950  1 Ga 1.85, 1 Ta 2.05
O2 0.2842 0.4590 0.1747  1 Ga 1.84
O3 0.2842 0.1095 0.8253  1 Ga 1.84
O4 0.7686 0.0636 0.7050  1 Ga 1.85, 1 Ta 2.05
O5 0.8905 0.7158 0.1747  1 Ga 1.84
O6 0.9364 0.2314 0.2950  1 Ga 1.85, 1 Ta 2.05
O7 0.9364 0.6415 0.7050  1 Ga 1.85, 1 Ta 2.05
O8 0.5410 0.7158 0.8253  1 Ga 1.84

3.
NaCuOs3: relaxed, PBE-GGA.

Distance to the lowest polymorph of the same formula = 1076 meV/atom
D(E_F) = 5.33 states/eV/f.u.
DFT total energy = -23.00 eV/f.u.
Crystal system = cubic
Symmetry = Pm-3m
Mass density = 12323 kg/m3

a = 4.4574 Å, b = 4.4574 Å, c = 4.4574 Å
α = 90.00°, β = 90.00°, γ = 90.00°
With the nearest neighbours (Å) after each atom.
Fractional positions:
Na1 0.0000 0.0000 0.0000  6 Os 2.23
Os1 0.0000 0.5000 0.0000  2 Na 2.23
Os2 0.0000 0.0000 0.5000  2 Na 2.23
Os3 0.5000 0.0000 0.0000  2 Na 2.23
Cu1 0.5000 0.5000 0.5000  12 Os 3.15

4.
Sc2CrB10: relaxed, PBE-GGA.

D(E_F) = 3.48 states/eV/f.u.
DFT total energy = -92.17 eV/f.u.
Crystal system = orthorhombic
Symmetry = Pbam
Mass density = 3243 kg/m3

a = 4.0884 Å, b = 5.3886 Å, c = 11.6210 Å
α = 90.00°, β = 90.00°, γ = 90.00°
With the nearest neighbours (Å) after each atom.
Fractional positions:
Sc1 0.5000 0.3014 0.8429  16 B 2.73-2.94
Sc2 0.5000 0.6986 0.1571  16 B 2.73-2.94
Sc3 0.5000 0.8014 0.6571  16 B 2.73-2.94
Sc4 0.5000 0.1986 0.3429  16 B 2.73-2.94
Cr1 0.0000 0.5000 0.5000  8 B 2.15-2.18
Cr2 0.0000 0.0000 0.0000  8 B 2.15-2.18
B1 0.0000 0.1142 0.5468  4 B 1.64-1.77
B2 0.0000 0.8858 0.4532  4 B 1.64-1.77
B3 0.0000 0.6142 0.9532  4 B 1.64-1.77
B4 0.0000 0.3858 0.0468  4 B 1.64-1.77
B5 0.0000 0.1415 0.6981  5 B 1.64-1.77
B6 0.0000 0.8585 0.3019  5 B 1.64-1.77
B7 0.3010 0.2132 0.1192  4 B 1.63-1.76
B8 0.3010 0.7868 0.8808  4 B 1.63-1.76
B9 0.6990 0.7132 0.3808  4 B 1.63-1.76
B10 0.6990 0.2868 0.6192  4 B 1.63-1.76
B11 0.6990 0.7868 0.8808  4 B 1.63-1.76
B12 0.6990 0.2132 0.1192  4 B 1.63-1.76
B13 0.3010 0.2868 0.6192  4 B 1.63-1.76
B14 0.3010 0.7132 0.3808  4 B 1.63-1.76
B15 0.0000 0.0345 0.1867  4 B 1.64-1.75
B16 0.0000 0.9655 0.8133  4 B 1.64-1.75
B17 0.0000 0.5345 0.3133  4 B 1.64-1.75
B18 0.0000 0.4655 0.6867  4 B 1.64-1.75
B19 0.0000 0.3585 0.1981  5 B 1.64-1.77
B20 0.0000 0.6415 0.8019  5 B 1.64-1.77

> Number 1 is which compound?

Y4HgTe2As

> Which of these has the lowest mass density?

Sc2CrB10

> Look up the mass density of the first one.

6537 kg/m3

> Number 2 is which compound?

HoTaGa2O8